# Er4ZnHg

A geometry-optimized Er4ZnHg structure (PBE, Alexandria via LeMat-Bulk).

- DOS at the Fermi energy (states/eV/atom) = 1.051
- formation enthalpy at 0 K (eV per atom) = -0.050
- space group = P4/mmm, No. 123

Cell lengths 4.948, 4.948, 7.119 Å; angles 89.99, 90.00, 90.00 degrees
Element x y z (fractional)
Er 0.501 0.997 0.256
Er 0.501 0.997 0.741
Er 0.001 0.497 0.741
Er 0.001 0.497 0.256
Zn 0.001 0.997 0.498
Hg 0.501 0.497 0.998

# CeHoP2

A geometry-optimized CeHoP2 structure (PBE, Alexandria via LeMat-Bulk).

- distance to the lowest polymorph of the same formula (eV/atom) = 0.236
- DOS at the Fermi energy (states/eV/atom) = 1.434
- formation enthalpy at 0 K (eV per atom) = -1.322
- space group = P-3m1, No. 164

Cell lengths 4.000, 4.001, 7.026 Å; angles 90.00, 90.00, 120.00 degrees
Site moments in Bohr magnetons follow the coordinates.
Element x y z (fractional)
Ce 0.000 0.500 0.500  0.65
Ho 0.000 0.500 0.000  0.05
P 0.667 0.833 0.756  -0.02
P 0.333 0.167 0.244  -0.02

# MnPtRh2S8

A geometry-optimized MnPtRh2S8 structure (PBE, Alexandria via LeMat-Bulk).

- uncorrected formation energy (eV/atom) = -0.334
- DOS at the Fermi energy (states/eV/atom) = 0.589
- space group = P2/m, No. 10

Cell lengths 5.635, 4.681, 7.325 Å; angles 90.00, 90.00, 90.44 degrees
Element x y z (fractional)
Mn 0.000 0.000 0.500
Pt 0.000 0.000 0.000
Rh 0.500 0.500 0.741
Rh 0.500 0.500 0.259
S 0.117 0.711 0.271
S 0.615 0.788 0.000
S 0.883 0.289 0.271
S 0.883 0.289 0.729
S 0.385 0.212 0.000
S 0.117 0.711 0.729
S 0.632 0.809 0.500
S 0.368 0.191 0.500